No. 1
16
Lattice="-4.5216 -3.0344 1.6875 3.4168 -4.3652 1.3058 1.4914 4.2007 10.1397" Properties=species:S:1:pos:R:3 comment="HoAuSeO, relaxed, DFT PBE-GGA" total_energy_ev_per_atom=-5.991 space_group="P2_1, No. 4" mass_density_g_cm3=8.44 relative_energy_mev_per_atom=0 pbc="T T T"
Se -0.7999 0.1022 3.4576
O 0.0372 -0.5665 12.1295
Ho -1.0575 -2.5445 2.2186
Se -0.5068 -3.7418 4.8298
Ho -2.0534 -0.5956 11.2973
O -0.8909 -1.0479 0.5296
Au 3.9512 -0.6223 8.5010
Ho 2.9094 -3.2030 2.0151
Se -0.2404 -1.4781 9.1301
Se 0.1735 1.4626 8.0281
Au -0.3535 0.7373 5.7635
O -3.1491 -2.5703 1.3556
O 2.2972 0.9537 11.3041
Au -0.3152 -2.5880 6.9662
Ho 1.9250 -1.2687 11.0982
Au -2.9343 -3.3819 4.8730

---

No. 2
3
Lattice="-0.6487 0.3897 5.0328 -4.2598 2.0692 1.8640 -3.4307 -2.9279 2.3578" Properties=species:S:1:pos:R:3 comment="ErScU, relaxed, DFT PBE-GGA" total_energy_ev_per_atom=-6.209 space_group="F-43m, No. 216" formation_enthalpy_0k_mev_per_atom=1187 mass_density_g_cm3=8.02 relative_energy_mev_per_atom=0 pbc="T T T"
U -6.2544 -0.3517 6.9409
Er -2.0848 -0.1172 2.3137
Sc 0.0000 0.0000 0.0000

---

No. 3
3
Lattice="1.6463 -3.6028 2.0424 -2.6681 -3.4446 0.9366 0.4338 -3.8282 -2.2402" Properties=species:S:1:pos:R:3 comment="ErAsOs, relaxed, DFT PBE-GGA" total_energy_ev_per_atom=-6.957 space_group="F-43m, No. 216" mass_density_g_cm3=11.47 pbc="T T T"
Er -0.4410 -8.1567 0.5541
As -0.1470 -2.7189 0.1847
Os 0.0000 0.0000 0.0000

---

No. 4
8
Lattice="-2.7952 0.5977 3.0275 1.3443 -3.8452 -0.8628 9.4164 1.4035 8.4166" Properties=species:S:1:pos:R:3 comment="SrHgSeO, relaxed, DFT PBE-GGA" total_energy_ev_per_atom=-4.009 space_group="P6_3mc, No. 186" mass_density_g_cm3=6.67 relative_energy_mev_per_atom=0 pbc="T T T"
Se -0.5388 -0.7527 2.5142
Hg 9.3790 1.3980 8.3832
Sr 2.5651 -1.9765 2.7585
O 7.7439 1.1543 6.9217
O 3.0357 0.4525 2.7134
Hg 4.6708 0.6962 4.1749
Se 5.5492 -1.5317 5.4257
Sr 5.8935 0.2060 8.2636

---

No. 5
4
Lattice="0.0000 3.3309 3.3309 3.3309 0.0000 3.3309 3.3309 3.3309 0.0000" Properties=species:S:1:pos:R:3 comment="TlAgBAu, relaxed, DFT PBE-GGA" total_energy_ev_per_atom=-2.825 space_group="F-43m, No. 216" mass_density_g_cm3=11.68 relative_energy_mev_per_atom=0 pbc="T T T"
Tl 3.3309 3.3309 3.3309
Au 4.9964 4.9964 4.9964
Ag 0.0000 0.0000 0.0000
B 1.6654 1.6654 1.6654

---

No. 6
24
Lattice="8.5380 0.0000 0.0000 0.0000 4.2690 0.0000 -4.2687 0.0000 12.0743" Properties=species:S:1:pos:R:3 comment="TaNbAl2Pd2, relaxed, DFT PBE-GGA" total_energy_ev_per_atom=-6.925 space_group="Pm, No. 6" mass_density_g_cm3=8.16 pbc="T T T"
Pd 6.4041 2.1345 3.0093
Al 4.2694 2.1345 1.5089
Nb 0.0011 2.1345 4.5288
Pd 2.1340 2.1345 3.0084
Al 2.1350 0.0000 4.5267
Pd 2.1410 2.1345 9.0597
Al -0.0003 2.1345 1.5079
Al -0.0011 2.1345 7.5471
Al 6.4032 0.0000 4.5272
Al 4.2704 2.1345 7.5476
Ta -2.1334 0.0000 7.5460
Pd 0.0005 0.0000 0.0013
Pd 4.2754 0.0000 6.0424
Nb 2.1336 0.0000 7.5446
Pd -2.1402 2.1345 9.0531
Pd 4.2684 0.0000 0.0078
Pd -0.0060 0.0000 6.0413
Al 2.1361 0.0000 10.5663
Ta 4.2684 2.1345 10.5647
Nb 4.2681 2.1345 4.5295
Ta 2.1353 0.0000 1.5098
Ta 6.4027 0.0000 1.5106
Nb 0.0012 2.1345 10.5632
Al -2.1354 0.0000 10.5654

---

No. 7
6
Lattice="5.1115 0.0000 0.0000 0.0000 5.1115 0.0000 0.0000 0.0000 4.7752" Properties=species:S:1:pos:R:3 comment="InFe2, relaxed, DFT PBE-GGA" total_energy_ev_per_atom=-5.339 space_group="P4_2/mnm, No. 136" mass_density_g_cm3=6.03 pbc="T T T"
Fe 3.3291 3.3291 0.0000
Fe 1.7824 1.7824 0.0000
In 0.0000 0.0000 0.0000
In 2.5557 2.5557 2.3876
Fe 4.3381 0.7734 2.3876
Fe 0.7734 4.3381 2.3876

---

No. 8
8
Lattice="3.3611 0.0000 0.0000 -1.6806 2.9108 0.0000 0.0000 0.0000 14.4978" Properties=species:S:1:pos:R:3 comment="Zr4SnAuC2, relaxed, DFT PBE-GGA" total_energy_ev_per_atom=-8.211 space_group="P-6m2, No. 187" mass_density_g_cm3=8.25 pbc="T T T"
Sn 1.6806 0.9703 7.2489
Zr 1.6806 0.9703 2.2727
Zr 0.0000 0.0000 9.6836
Zr 1.6806 0.9703 12.2251
Au 0.0000 0.0000 0.0000
C 0.0000 1.9405 10.9425
C 0.0000 1.9405 3.5553
Zr 0.0000 0.0000 4.8142